# 1
{"formula": "Y3Ho4Co4", "functional": "PBE-GGA", "state": "optimized geometry", "ef_ev_per_atom": -0.10, "sg": "Immm (71)", "lattice": [[-1.587, -1.218, -3.014], [-4.502, -5.863, 4.739], [-2.664, 8.676, 0.068]], "species": ["Y", "Y", "Y", "Ho", "Ho", "Ho", "Ho", "Co", "Co", "Co", "Co"], "fractional_positions": [[0.104, 0.104, 0.209], [0.896, 0.896, 0.791], [0.000, 0.500, 0.000], [0.334, 0.149, 0.669], [0.666, 0.480, 0.331], [0.666, 0.851, 0.331], [0.334, 0.520, 0.669], [0.249, 0.749, 0.498], [0.751, 0.251, 0.502], [0.500, 0.786, 0.000], [0.500, 0.214, 0.000]]}

# 2
{"formula": "YHo2Co2", "functional": "PBE-GGA", "state": "optimized geometry", "ef_ev_per_atom": -0.09, "sg": "C2/m (12)", "lattice": [[3.732, 0.000, 0.000], [0.000, 5.462, 0.126], [-1.866, -1.437, 5.433]], "species": ["Y", "Ho", "Ho", "Co", "Co"], "fractional_positions": [[0.000, 0.000, 0.000], [0.352, 0.419, 0.703], [0.648, 0.581, 0.297], [0.718, 0.103, 0.436], [0.282, 0.897, 0.564]]}

# 3
{"formula": "Y6HoCo2", "functional": "PBE-GGA", "state": "optimized geometry", "ef_ev_per_atom": -0.06, "sg": "Immm (71)", "lattice": [[8.137, 0.420, -2.642], [-4.556, 6.883, -2.286], [0.002, -0.420, 8.555]], "species": ["Y", "Y", "Y", "Y", "Y", "Y", "Y", "Y", "Y", "Y", "Y", "Y", "Ho", "Ho", "Co", "Co", "Co", "Co"], "fractional_positions": [[0.473, 0.289, 0.184], [0.527, 0.711, 0.816], [0.895, 0.711, 0.184], [0.105, 0.289, 0.816], [0.212, 0.758, 0.970], [0.788, 0.242, 0.030], [0.788, 0.758, 0.546], [0.212, 0.242, 0.454], [0.317, 0.997, 0.680], [0.683, 0.003, 0.320], [0.683, 0.363, 0.680], [0.317, 0.637, 0.320], [0.000, 0.500, 0.500], [0.000, 0.000, 0.000], [0.500, 0.387, 0.887], [0.500, 0.613, 0.113], [0.290, 0.000, 0.290], [0.710, 0.000, 0.710]]}

# 4
{"formula": "YHoCo2", "functional": "PBE-GGA", "state": "optimized geometry", "ef_ev_per_atom": -0.14, "sg": "P4/mmm (123)", "lattice": [[3.349, 0.000, 0.000], [0.000, 4.716, 0.000], [0.000, 0.000, 4.716]], "species": ["Y", "Co", "Co", "Ho"], "fractional_positions": [[0.500, 0.000, 0.000], [0.000, 0.000, 0.500], [0.000, 0.500, 0.000], [0.500, 0.500, 0.500]]}